A plane-wave DFT calculation with meta-GGA SCAN was carried out for Zr2InH2 at its PBEsol-relaxed geometry.

Cell and atoms, written as CIF:
```
data_Zr2InH2
_chemical_formula_sum 'Zr4 In2 H4'
_cell_length_a 3.7736
_cell_length_b 3.7736
_cell_length_c 9.5908
_cell_angle_alpha 90.00
_cell_angle_beta 90.00
_cell_angle_gamma 90.00
_space_group_name_H-M_alt 'I 4/m m m'
_space_group_IT_number 139
_space_group_name_Hall '-I 4 2'
loop_
_atom_site_label
_atom_site_type_symbol
_atom_site_fract_x
_atom_site_fract_y
_atom_site_fract_z
_atom_site_occupancy
Zr1 Zr 0.0000 0.0000 0.1640 1
In1 In 0.0000 0.0000 0.5000 1
H1 H 0.0000 0.5000 0.2500 1
```

Summary:
* electronic total energy: -20.89 eV/atom